(1)
DFT (PBE) results for an optimized crystal structure of CeHoF2.

```
4
Lattice="1.7328 1.0005 7.9176 -1.7328 1.0005 7.9176 0.0000 -2.0009 7.9176" Properties=species:S:1:pos:R:3 pbc="T T T"
Ce 0.0000 0.0000 0.0000
Ho 0.0000 0.0000 11.8764
F 0.0000 0.0000 9.6809
F 0.0000 0.0000 14.0720
```

Values from the calculation:
**E_tot**: -5.88 eV per atom
**Size of the total moment**: 1.17 μB per cell

=====

(2)
DFT (PBE) results for an optimized crystal structure of Ce2HoF11.

```
28
Lattice="-4.1907 5.1878 5.4642 4.1907 -5.1878 5.4642 4.1907 5.1878 -5.4642" Properties=species:S:1:pos:R:3 pbc="T T T"
Ce 1.2499 1.8979 0.0000
Ce 5.4405 3.2899 0.0000
Ce -1.2499 1.8979 5.4642
Ce 2.9408 3.2899 5.4642
Ho 4.1907 0.0000 2.7321
Ho 0.0000 5.1878 2.7321
F 0.0000 0.0000 0.0000
F 4.9710 1.7911 -1.5504
F 5.9858 -0.7541 1.5022
F 4.9710 -1.7911 3.9138
F 2.3955 0.7541 1.5022
F 3.1355 -2.9869 5.4642
F 3.1355 2.9869 0.0000
F 2.3955 -0.7541 3.9620
F 4.9710 1.7911 1.5504
F 1.7952 5.9419 -1.5022
F 0.7803 3.3967 1.5504
F 0.0000 0.0000 5.4642
F 3.4103 1.7911 3.9138
F 2.3955 -0.7541 6.9663
F -0.7803 3.3967 3.9138
F 1.7952 5.9419 1.5022
F 1.0552 2.2009 5.4642
F 1.0552 8.1747 0.0000
F 1.7952 4.4337 3.9620
F -0.7803 6.9789 1.5504
F -1.7952 5.9419 3.9620
F -0.7803 3.3967 7.0145
```

Values from the calculation:
**E_tot**: -6.48 eV per atom
**Size of the total moment**: 0.00 μB per cell

=====

(3)
DFT (PBE) results for an optimized crystal structure of CeI3F.

```
20
Lattice="13.9411 0.0000 0.0000 0.0000 13.9411 0.0000 0.0000 0.0000 4.5378" Properties=species:S:1:pos:R:3 pbc="T T T"
Ce 1.6623 1.6623 0.0000
Ce 5.3083 8.6328 2.2689
Ce 8.6328 5.3083 2.2689
Ce 12.2788 12.2788 0.0000
I 1.4303 4.5732 0.0000
I 1.4762 12.4649 0.0000
I 2.3974 8.4009 2.2689
I 4.5732 1.4303 0.0000
I 5.4944 5.4944 2.2689
I 5.5402 11.5437 2.2689
I 8.4009 2.3974 2.2689
I 8.4467 8.4467 2.2689
I 9.3679 12.5108 0.0000
I 11.5437 5.5402 2.2689
I 12.4649 1.4762 0.0000
I 12.5108 9.3679 0.0000
F 1.5555 1.5555 2.2689
F 5.4151 8.5260 0.0000
F 8.5260 5.4151 0.0000
F 12.3856 12.3856 2.2689
```

Values from the calculation:
**E_tot**: -4.27 eV per atom
**Excess energy over the best structure of this formula in the dataset**: 0 meV/atom
**Size of the total moment**: 0.00 μB per cell

=====

(4)
DFT (PBE) results for an optimized crystal structure of CeIF4.

```
12
Lattice="8.6250 -2.7683 0.0000 8.6250 2.7683 0.0000 -2.2249 0.0000 6.1395" Properties=species:S:1:pos:R:3 pbc="T T T"
Ce -0.0285 0.0000 1.9012
Ce 15.0536 0.0000 4.2383
I 2.4682 0.0000 6.0000
I 12.5568 0.0000 0.1395
F 6.5543 1.5471 2.3260
F 2.0208 0.0000 1.9303
F 8.6250 1.4739 0.0000
F 8.4708 1.5471 3.8135
F 6.5543 -1.5471 2.3260
F 8.6250 -1.4739 0.0000
F 13.0042 0.0000 4.2092
F 8.4708 -1.5471 3.8135
```

Values from the calculation:
**E_tot**: -5.39 eV per atom
**Size of the total moment**: 0.46 μB per cell

=====

(5)
DFT (PBE) results for an optimized crystal structure of CeI3F.

```
10
Lattice="5.6604 -4.8662 0.0000 5.6604 4.8662 0.0000 -5.2739 0.0000 6.4793" Properties=species:S:1:pos:R:3 pbc="T T T"
Ce -0.7914 0.0000 2.5571
Ce 6.8382 0.0000 3.9222
I 1.6752 0.0000 0.6728
I 1.2565 1.8211 4.5540
I 4.7903 1.8211 1.9253
I 1.2565 -1.8211 4.5540
I 4.7903 -1.8211 1.9253
I 4.3717 0.0000 5.8066
F -2.1012 0.0000 4.3516
F 8.1480 0.0000 2.1277
```

Values from the calculation:
**E_tot**: -4.22 eV per atom
**Excess energy over the best structure of this formula in the dataset**: 49 meV/atom
**Size of the total moment**: 0.25 μB per cell

=====

(6)
DFT (PBE) results for an optimized crystal structure of CeIF3.

```
20
Lattice="8.4569 0.0000 0.0000 0.0000 5.8172 0.0000 -7.4849 0.0000 9.7504" Properties=species:S:1:pos:R:3 pbc="T T T"
Ce -1.9848 0.3621 4.1454
Ce -5.7272 2.5465 9.0206
Ce 6.6992 3.2707 0.7298
Ce 2.9567 5.4551 5.6049
I 1.0606 0.9964 3.4779
I -2.6819 1.9122 8.3531
I 3.6538 3.9050 1.3973
I -0.0887 4.8208 6.2724
F -5.4918 4.2987 7.6251
F -1.7494 4.4272 2.7499
F 0.4686 3.3970 1.0501
F -3.2739 5.3288 5.9253
F 1.7575 0.6998 0.1393
F -1.9850 2.2088 5.0145
F 2.9570 3.6084 4.7359
F -0.7855 5.1174 9.6111
F 4.2458 0.4884 3.8251
F 0.5033 2.4202 8.7002
F 2.7213 1.3900 7.0004
F 6.4638 1.5186 2.1252
```

Values from the calculation:
**E_tot**: -5.66 eV per atom
**Size of the total moment**: 0.42 μB per cell

=====

(7)
DFT (PBE) results for an optimized crystal structure of Ce2SeIF2.

```
6
Lattice="4.1772 0.0000 0.0000 -2.0886 3.6175 0.0000 0.0000 0.0000 9.2468" Properties=species:S:1:pos:R:3 pbc="T T T"
Ce 0.0000 2.4117 1.9566
Ce 2.0886 1.2058 7.2902
Se 0.0000 0.0000 0.0000
I 0.0000 0.0000 4.6234
F 0.0000 2.4117 6.9838
F 2.0886 1.2058 2.2631
```

Values from the calculation:
**E_tot**: -6.04 eV per atom
**Size of the total moment**: 2.90 μB per cell

=====

(8)
DFT (PBE) results for an optimized crystal structure of Ce2TeIF2.

```
6
Lattice="4.2260 0.0000 0.0000 -2.1130 3.6598 0.0000 0.0000 0.0000 9.6829" Properties=species:S:1:pos:R:3 pbc="T T T"
Ce 0.0000 2.4399 2.2148
Ce 2.1130 1.2199 7.4681
Te 0.0000 0.0000 0.0000
I 0.0000 0.0000 4.8414
F 0.0000 2.4399 7.2185
F 2.1130 1.2199 2.4644
```

Values from the calculation:
**E_tot**: -5.84 eV per atom
**Size of the total moment**: 2.93 μB per cell

=====

(9)
DFT (PBE) results for an optimized crystal structure of Ce2InF7.

```
10
Lattice="3.7491 -5.9230 0.0000 3.7491 5.9230 0.0000 0.0000 0.0000 4.6060" Properties=species:S:1:pos:R:3 pbc="T T T"
Ce 3.7491 3.6089 0.0000
Ce 3.7491 -3.6089 0.0000
In 3.7491 0.0000 2.3030
F 0.0000 0.0000 0.0000
F 2.3304 1.6933 0.0000
F 3.7491 3.3880 2.3030
F 2.3304 -1.6933 0.0000
F 5.1678 1.6933 0.0000
F 3.7491 -3.3880 2.3030
F 5.1678 -1.6933 0.0000
```

Values from the calculation:
**E_tot**: -6.25 eV per atom
**Size of the total moment**: 2.01 μB per cell

=====

(10)
DFT (PBE) results for an optimized crystal structure of CeInF.

```
6
Lattice="2.2467 1.2971 8.1411 -2.2467 1.2971 8.1411 0.0000 -2.5943 8.1411" Properties=species:S:1:pos:R:3 pbc="T T T"
Ce 0.0000 0.0000 2.3938
Ce 0.0000 0.0000 22.0294
In 0.0000 0.0000 8.6526
In 0.0000 0.0000 15.7706
F 0.0000 0.0000 4.7608
F 0.0000 0.0000 19.6623
```

Values from the calculation:
**E_tot**: -5.29 eV per atom
**Excess energy over the best structure of this formula in the dataset**: 0 meV/atom
**Size of the total moment**: 2.02 μB per cell

=====

(11)
DFT (PBE) results for an optimized crystal structure of Ce2InF.

```
4
Lattice="3.1843 0.0000 0.0000 0.0000 3.1843 0.0000 0.0000 0.0000 8.6012" Properties=species:S:1:pos:R:3 pbc="T T T"
Ce 0.0000 0.0000 1.8459
Ce 0.0000 0.0000 6.7554
In 1.5921 1.5921 4.3006
F 1.5921 1.5921 0.0000
```

Values from the calculation:
**E_tot**: -5.22 eV per atom
**Excess energy over the best structure of this formula in the dataset**: 139 meV/atom
**Size of the total moment**: 2.66 μB per cell

=====

(12)
DFT (PBE) results for an optimized crystal structure of CeInF2.

```
4
Lattice="1.7807 1.0281 8.8345 -1.7807 1.0281 8.8345 0.0000 -2.0562 8.8345" Properties=species:S:1:pos:R:3 pbc="T T T"
Ce 0.0000 0.0000 0.0000
In 0.0000 0.0000 13.2518
F 0.0000 0.0000 2.1673
F 0.0000 0.0000 24.3363
```

Values from the calculation:
**E_tot**: -5.02 eV per atom
**Size of the total moment**: 1.08 μB per cell

=====

no.,E_form (uncorrected) (kJ/mol of atoms)
1,-223.85
2,-370.25
3,-171.54
4,-279.80
5,-166.81
6,-293.37
7,-250.39
8,-237.23
9,-335.74
10,-171.75
11,-106.15
12,-184.75